# 1
DFT (GGA-PBE) results for a geometry-optimized NdHoRh4 structure.

Lattice parameters (Å, degrees): 7.599 7.599 7.599 90.00 90.00 90.00
Space group F-43m (No. 216)
Unique sites:
Nd 0.000 0.000 0.000
Ho 0.250 0.250 0.250
Rh 0.125 0.125 0.625

Output
For the magnetic moment, the calculation gives 0.00 μB per cell. The calculation puts the formation energy at -0.70 eV per atom. The density of states at the Fermi level is 0.6660 states/eV per atom.

***

# 2
DFT (GGA-PBE) results for a geometry-optimized AlPtSCl2 structure.

Lattice parameters (Å, degrees): 5.392 5.392 4.337 90.00 90.00 90.00
Space group P4/mmm (No. 123)
Unique sites:
Al 0.000 0.000 0.000
Pt 0.500 0.500 0.000
S 0.500 0.500 0.500
Cl 0.000 0.500 0.500

Output
For the magnetic moment, the calculation gives 0.00 μB per cell. For the formation energy without anion corrections, the calculation gives 131 kJ/mol of formula units. The density of states at the Fermi level is 0.2644 states/eV per atom. The calculation puts the energy above the lowest structure with this stoichiometry at 232 meV per atom.

***

# 3
DFT (GGA-PBE) results for a geometry-optimized NiIBr3 structure.

Lattice parameters (Å, degrees): 7.151 11.035 11.252 90.00 91.06 90.00
Space group P2/c (No. 13)
Unique sites:
Ni 0.073 0.107 0.399
I 0.050 0.469 0.128
Br 0.087 0.121 0.921
Br 0.214 0.116 0.211
Br 0.354 0.164 0.486

Output
For the magnetic moment, the calculation gives 4.20 μB per cell. For the formation energy without anion corrections, the calculation gives -72 kJ/mol of formula units. The density of states at the Fermi level is 0.2630 states/eV per atom. The calculation puts the energy above the lowest structure with this stoichiometry at 0 meV per atom.

***

# 4
DFT (GGA-PBE) results for a geometry-optimized ReSi2Sb structure.

Lattice parameters (Å, degrees): 8.105 3.268 5.529 90.00 97.55 90.00
Space group C2/m (No. 12)
Unique sites:
Re 0.000 0.000 0.000
Si 0.224 0.500 0.162
Sb 0.000 0.500 0.500

Output
For the magnetic moment, the calculation gives 0.00 μB per cell. For the formation energy without anion corrections, the calculation gives 110 kJ/mol of formula units. The density of states at the Fermi level is 0.3853 states/eV per atom.

***

# 5
DFT (GGA-PBE) results for a geometry-optimized Na2Ga structure.

Lattice parameters (Å, degrees): 8.601 8.601 8.601 90.00 90.00 90.00
Space group Fd-3m (No. 227, origin choice 2)
Unique sites:
Na 0.000 0.000 0.000
Ga 0.125 0.125 0.625

Output
For the magnetic moment, the calculation gives 0.00 μB per cell. The calculation puts the formation energy at 0.22 eV per atom. The density of states at the Fermi level is 0.4576 states/eV per atom.

***

# 6
DFT (GGA-PBE) results for a geometry-optimized Pm2Nd3Cd4 structure.

Lattice parameters (Å, degrees): 10.248 8.307 6.841 90.00 109.29 90.00
Space group P2_1/c (No. 14)
Unique sites:
Pm 0.180 0.098 0.090
Nd 0.000 0.000 0.500
Nd 0.495 0.750 0.498
Cd 0.156 0.750 0.327
Cd 0.317 0.014 0.658

Output
For the magnetic moment, the calculation gives 0.00 μB per cell. The calculation puts the formation energy at -0.14 eV per atom. The density of states at the Fermi level is 1.1884 states/eV per atom.

***

# 7
DFT (GGA-PBE) results for a geometry-optimized Dy6HoTl3 structure.

Lattice parameters (Å, degrees): 9.008 5.644 12.428 90.00 109.82 90.00
Space group P2_1/m (No. 11)
Unique sites:
Dy 0.008 0.250 0.078
Dy 0.112 0.750 0.673
Dy 0.216 0.750 0.217
Dy 0.233 0.250 0.877
Dy 0.344 0.250 0.640
Dy 0.388 0.750 0.515
Ho 0.487 0.250 0.178
Tl 0.028 0.750 0.398
Tl 0.262 0.250 0.347
Tl 0.373 0.750 0.028

Output
For the magnetic moment, the calculation gives 0.00 μB per cell. The calculation puts the formation energy at -0.15 eV per atom. The density of states at the Fermi level is 1.0638 states/eV per atom.

***

# 8
DFT (GGA-PBE) results for a geometry-optimized LaZr2Cu structure.

Lattice parameters (Å, degrees): 3.313 5.219 5.314 90.00 90.00 90.00
Space group Pmmm (No. 47)
Unique sites:
La 0.000 0.000 0.000
Zr 0.000 0.500 0.500
Zr 0.500 0.500 0.000
Cu 0.500 0.000 0.500

Output
For the magnetic moment, the calculation gives 0.00 μB per cell. The calculation puts the formation energy at 0.18 eV per atom. The density of states at the Fermi level is 1.4191 states/eV per atom. The calculation puts the energy above the lowest structure with this stoichiometry at 207 meV per atom.

***

Question: Number 6 is which compound?
Answer: Pm2Nd3Cd4